No. 1
Na2AlSb2 GGA-PBEsol relaxed; energy relative to the elements, uncorrected = -0.022 eV per atom
1.0
8.901 0.000 0.000
0.000 8.901 0.000
0.000 0.000 3.146
Na Al Sb
4 2 4
Cartesian
1.053 3.398 0.000
3.398 7.849 0.000
5.503 1.053 0.000
7.849 5.503 0.000
0.000 0.000 1.573
4.451 4.451 1.573
1.616 6.067 1.573
2.835 1.616 1.573
6.067 7.285 1.573
7.285 2.835 1.573

***

No. 2
NaScTaAl2 GGA-PBEsol relaxed; calculated formation energy = 1.383 eV per atom
1.0
4.641 0.000 0.000
0.000 4.641 0.000
0.000 0.000 4.848
Na Sc Ta Al
1 1 1 2
Cartesian
0.000 0.000 0.000
2.320 2.320 2.424
0.000 0.000 2.424
0.000 2.320 0.000
2.320 0.000 0.000

***

No. 3
Na3AlSe3 GGA-PBEsol relaxed; energy relative to the elements, uncorrected = -1.060 eV per atom
1.0
7.442 0.000 0.000
0.000 7.177 0.000
-7.331 0.000 13.140
Na Al Se
12 4 12
Cartesian
-1.636 0.182 3.736
-5.301 3.407 10.306
-2.452 3.623 8.016
1.214 7.142 1.446
-2.082 0.036 7.882
1.583 3.552 1.312
-1.472 3.625 11.827
2.193 7.141 5.258
-1.103 0.035 11.694
2.562 3.554 5.124
5.412 3.770 2.834
1.747 6.995 9.404
-0.564 4.593 5.511
-4.230 6.172 12.081
4.340 1.005 1.059
0.675 2.584 7.629
-6.427 5.337 12.179
-2.761 5.429 5.609
-4.230 1.439 12.188
-0.564 2.149 5.619
0.578 5.294 3.573
-3.088 5.472 10.143
3.199 1.706 2.997
-0.467 1.883 9.567
0.675 5.028 7.521
4.341 5.738 0.951
2.872 1.748 7.531
6.538 1.840 0.961

***

No. 4
NaAlSe2 GGA-PBEsol relaxed; energy relative to the elements, uncorrected = -1.007 eV per atom
1.0
-3.767 3.767 3.153
3.767 -3.767 3.153
3.767 3.767 -3.153
Na Al Se
2 2 4
Cartesian
0.000 0.000 1.577
0.000 0.000 4.730
3.767 0.000 1.577
0.000 3.767 1.577
5.064 1.296 0.000
1.296 2.471 0.000
2.471 1.296 3.153
-1.296 2.471 3.153